(1)
Compound: CdRe4Ni
Source: the Alexandria database
Functional: PBE-GGA
Structure: relaxed

a = 5.204 Å, b = 5.204 Å, c = 5.204 Å
α = 60.00°, β = 60.00°, γ = 60.00°
Element x y z (fractional)
Re 0.374 0.374 0.374
Re 0.374 0.374 0.877
Cd 0.750 0.750 0.750
Re 0.374 0.877 0.374
Re 0.877 0.374 0.374
Ni 0.000 0.000 0.000

Properties
The calculation puts the formation energy at 0.687 eV/atom. The value obtained for the density of states at the Fermi level is 6.48 states/eV/cell. The value obtained for the total energy is -8.728 eV per atom.

(2)
Compound: CdRe2Ni
Source: the Alexandria database
Functional: PBE-GGA
Structure: relaxed

a = 4.690 Å, b = 4.690 Å, c = 4.690 Å
α = 129.63°, β = 129.39°, γ = 74.19°
Element x y z (fractional)
Ni 0.250 0.750 0.500
Cd 0.500 0.500 0.000
Re 0.751 0.251 0.500
Re 0.999 0.999 0.000

Properties
The calculation puts the formation energy at 0.480 eV/atom. The value obtained for the density of states at the Fermi level is 4.35 states/eV/cell. The value obtained for the total energy is -7.418 eV per atom.

(3)
Compound: CdRe2Ni
Source: the Alexandria database
Functional: PBE-GGA
Structure: relaxed

a = 3.079 Å, b = 3.079 Å, c = 6.595 Å
α = 90.00°, β = 90.00°, γ = 90.00°
Element x y z (fractional)
Re 0.000 0.000 0.561
Ni 0.500 0.500 0.750
Cd 0.500 0.500 0.250
Re 0.000 0.000 0.939

Properties
The calculation puts the formation energy at 0.535 eV/atom. The value obtained for the density of states at the Fermi level is 3.64 states/eV/cell. The value obtained for the total energy is -7.363 eV per atom.

(4)
Compound: Cd2Re2Ni
Source: the Alexandria database
Functional: PBE-GGA
Structure: relaxed

a = 8.167 Å, b = 8.167 Å, c = 2.802 Å
α = 90.00°, β = 90.00°, γ = 90.00°
Each line ends with the local moment (μB).
Element x y z (fractional)
Ni 0.500 0.500 0.000  0.43
Re 0.102 0.602 0.500  0.06
Re 0.602 0.898 0.500  0.05
Re 0.898 0.398 0.500  0.05
Ni 0.000 0.000 0.000  0.43
Cd 0.692 0.192 0.000  0.00
Re 0.398 0.102 0.500  0.05
Cd 0.192 0.308 0.000  0.01
Cd 0.808 0.692 0.000  0.01
Cd 0.308 0.808 0.000  0.00

Properties
The calculation puts the formation energy at 1.052 eV/atom. The value obtained for the density of states at the Fermi level is 10.19 states/eV/cell. The value obtained for the total energy is -5.449 eV per atom. Its polymorph energy (0 for the lowest one) is 1.40 eV/f.u.

(5)
Compound: CdRe2Ni
Source: the Alexandria database
Functional: PBE-GGA
Structure: relaxed

a = 5.740 Å, b = 5.740 Å, c = 4.459 Å
α = 67.10°, β = 67.10°, γ = 27.37°
Element x y z (fractional)
Re 0.539 0.539 0.461
Re 0.961 0.961 0.039
Cd 0.750 0.750 0.750
Ni 0.250 0.250 0.250

Properties
The calculation puts the formation energy at 0.310 eV/atom. The value obtained for the density of states at the Fermi level is 1.82 states/eV/cell. The value obtained for the total energy is -7.588 eV per atom.

(6)
Compound: CdRe2Ni
Source: the Alexandria database
Functional: PBE-GGA
Structure: relaxed

a = 2.770 Å, b = 3.879 Å, c = 5.748 Å
α = 90.00°, β = 90.00°, γ = 90.00°
Element x y z (fractional)
Ni 0.500 0.500 0.762
Re 0.500 0.500 0.209
Cd 0.000 0.000 0.519
Re 0.000 0.000 0.010

Properties
The calculation puts the formation energy at 0.335 eV/atom. The value obtained for the density of states at the Fermi level is 4.16 states/eV/cell. The value obtained for the total energy is -7.564 eV per atom.

(7)
Compound: CdRe2Ni
Source: the Alexandria database
Functional: PBE-GGA
Structure: relaxed

a = 4.411 Å, b = 4.411 Å, c = 4.411 Å
α = 60.00°, β = 60.00°, γ = 60.00°
Element x y z (fractional)
Re 0.750 0.750 0.750
Cd 0.500 0.500 0.500
Ni 0.250 0.250 0.250
Re 0.000 0.000 0.000

Properties
The calculation puts the formation energy at 0.520 eV/atom. The value obtained for the density of states at the Fermi level is 5.11 states/eV/cell. The value obtained for the total energy is -7.378 eV per atom.

(8)
Compound: CdReNi3
Source: the Alexandria database
Functional: PBE-GGA
Structure: relaxed

a = 4.529 Å, b = 4.529 Å, c = 4.529 Å
α = 90.00°, β = 90.00°, γ = 90.00°
Element x y z (fractional)
Ni 0.000 0.500 0.000
Ni 0.500 0.000 0.000
Cd 0.500 0.500 0.500
Re 0.000 0.000 0.000
Ni 0.000 0.000 0.500

Properties
The calculation puts the formation energy at 1.169 eV/atom. The value obtained for the density of states at the Fermi level is 5.16 states/eV/cell. The value obtained for the total energy is -4.973 eV per atom. Its polymorph energy (0 for the lowest one) is 0.00 eV/f.u.